No. 1
The following is a PBE-GGA calculation of a relaxed Sn2SbPbO8 crystal, from Alexandria.

a b c (Å): 4.8997 4.8979 6.6996
angles (deg): 90.00 90.00 89.61
Closest atoms and distances in Å follow each position.
Fractional coordinates of all 12 atoms:
O: 0.8041 0.1968 0.7774  1 Sb 2.02, 1 Sn 2.10
O: 0.6788 0.6798 0.5000  2 Sn 2.12, 1 Pb 2.23
O: 0.8040 0.1968 0.2226  1 Sb 2.02, 1 Sn 2.10
O: 0.3212 0.3202 0.5000  2 Sn 2.12, 1 Pb 2.23
O: 0.3001 0.2994 0.0000  1 Sb 2.08, 2 Sn 2.15
O: 0.1960 0.8032 0.7774  1 Sb 2.02, 1 Sn 2.10
O: 0.6999 0.7006 0.0000  1 Sb 2.08, 2 Sn 2.15
O: 0.1959 0.8032 0.2226  1 Sb 2.02, 1 Sn 2.10
Sn: 0.5000 0.5000 0.2446  6 O 2.10-2.15
Sn: 0.5000 0.5000 0.7554  6 O 2.10-2.15
Pb: 0.0000 0.0000 0.5000  6 O 2.23-2.30
Sb: 0.0000 0.0000 0.0000  6 O 2.02-2.08

Values from the calculation:
Uncorrected energy   -6.002 eV per atom
Calculated volume   160.8 Å³/cell
Space group   Cmmm, No. 65

***

No. 2
The following is a PBE-GGA calculation of a relaxed SnSbPbO6 crystal, from Alexandria.

a b c (Å): 5.4470 5.4470 9.9280
angles (deg): 90.00 90.00 120.00
Closest atoms and distances in Å follow each position.
Fractional coordinates of all 18 atoms:
Sn: 0.6667 0.3333 0.7500  6 O 2.10
Sn: 0.3333 0.6667 0.2500  6 O 2.10
O: 0.6406 0.6304 0.1388  1 Sb 2.02, 1 Sn 2.10
O: 0.0102 0.3696 0.6388  1 Sb 2.02, 1 Sn 2.10
O: 0.6406 0.0102 0.3612  1 Sb 2.02, 1 Sn 2.10
O: 0.3696 0.0102 0.1388  1 Sb 2.02, 1 Sn 2.10
O: 0.3594 0.3696 0.8612  1 Sb 2.02, 1 Sn 2.10
O: 0.3696 0.3594 0.3612  1 Sb 2.02, 1 Sn 2.10
O: 0.0102 0.6406 0.8612  1 Sb 2.02, 1 Sn 2.10
O: 0.9898 0.3594 0.1388  1 Sb 2.02, 1 Sn 2.10
O: 0.9898 0.6304 0.3612  1 Sb 2.02, 1 Sn 2.10
O: 0.3594 0.9898 0.6388  1 Sb 2.02, 1 Sn 2.10
O: 0.6304 0.6406 0.6388  1 Sb 2.02, 1 Sn 2.10
O: 0.6304 0.9898 0.8612  1 Sb 2.02, 1 Sn 2.10
Sb: 0.3333 0.6667 0.7500  6 O 2.02
Sb: 0.6667 0.3333 0.2500  6 O 2.02
Pb: 0.0000 0.0000 0.5000  6 O 2.42
Pb: 0.0000 0.0000 0.0000  6 O 2.42

Values from the calculation:
Uncorrected energy   -5.966 eV per atom
Calculated volume   255.1 Å³/cell
Space group   P-31c, No. 163

***

No. 3
The following is a PBE-GGA calculation of a relaxed SrSbPb2O6 crystal, from Alexandria.

a b c (Å): 5.7607 6.3661 8.5639
angles (deg): 90.00 89.44 90.00
Closest atoms and distances in Å follow each position.
Fractional coordinates of all 20 atoms:
Sb: 0.5000 0.0000 0.5000  6 O 2.02-2.04
Sb: 0.0000 0.5000 0.0000  6 O 2.02-2.04
Pb: 0.4913 0.4583 0.2259  6 O 2.40-2.57
Pb: 0.0087 0.9583 0.2741  6 O 2.40-2.57
Pb: 0.5087 0.5417 0.7741  6 O 2.40-2.57
Pb: 0.9913 0.0417 0.7259  6 O 2.40-2.57
O: 0.6679 0.2523 0.5928  1 Sb 2.04
O: 0.6994 0.3401 0.9734  1 Sb 2.02
O: 0.6178 0.0863 0.2834  1 Sb 2.04
O: 0.3822 0.9137 0.7166  1 Sb 2.04
O: 0.8006 0.8401 0.5266  1 Sb 2.02
O: 0.1679 0.2477 0.0928  1 Sb 2.04
O: 0.1178 0.4137 0.7834  1 Sb 2.04
O: 0.3321 0.7477 0.4072  1 Sb 2.04
O: 0.3006 0.6599 0.0266  1 Sb 2.02
O: 0.8822 0.5863 0.2166  1 Sb 2.04
O: 0.1994 0.1599 0.4734  1 Sb 2.02
O: 0.8321 0.7523 0.9072  1 Sb 2.04
Sr: 0.0000 0.5000 0.5000  6 O 2.46-2.60
Sr: 0.5000 0.0000 0.0000  6 O 2.46-2.60

Values from the calculation:
Uncorrected energy   -5.852 eV per atom
Calculated volume   314.0 Å³/cell
Space group   P2_1/c, No. 14

***

No. 4
The following is a PBE-GGA calculation of a relaxed Sr2SbPbO6 crystal, from Alexandria.

a b c (Å): 6.0363 6.0365 5.9269
angles (deg): 59.37 59.37 59.99
Closest atoms and distances in Å follow each position.
Fractional coordinates of all 10 atoms:
O: 0.4649 0.6321 0.8066  1 Sb 2.03
O: 0.0955 0.4649 0.8075  1 Sb 2.03
O: 0.1675 0.0002 0.2966  1 Sb 2.03
O: 0.0004 0.5361 0.2963  1 Sb 2.03
O: 0.5366 0.1674 0.2957  1 Sb 2.03
O: 0.6319 0.0960 0.8069  1 Sb 2.03
Pb: 0.8162 0.8162 0.5514  6 O 2.32
Sr: 0.0745 0.0748 0.7759  3 O 2.52
Sr: 0.5579 0.5577 0.3267  3 O 2.52
Sb: 0.3162 0.3162 0.0515  6 O 2.03

Values from the calculation:
Uncorrected energy   -6.056 eV per atom
Calculated volume   151.2 Å³/cell
Space group   R-3, No. 148

***

Copy entry 3 word for word.
The following is a PBE-GGA calculation of a relaxed SrSbPb2O6 crystal, from Alexandria.

a b c (Å): 5.7607 6.3661 8.5639
angles (deg): 90.00 89.44 90.00
Closest atoms and distances in Å follow each position.
Fractional coordinates of all 20 atoms:
Sb: 0.5000 0.0000 0.5000  6 O 2.02-2.04
Sb: 0.0000 0.5000 0.0000  6 O 2.02-2.04
Pb: 0.4913 0.4583 0.2259  6 O 2.40-2.57
Pb: 0.0087 0.9583 0.2741  6 O 2.40-2.57
Pb: 0.5087 0.5417 0.7741  6 O 2.40-2.57
Pb: 0.9913 0.0417 0.7259  6 O 2.40-2.57
O: 0.6679 0.2523 0.5928  1 Sb 2.04
O: 0.6994 0.3401 0.9734  1 Sb 2.02
O: 0.6178 0.0863 0.2834  1 Sb 2.04
O: 0.3822 0.9137 0.7166  1 Sb 2.04
O: 0.8006 0.8401 0.5266  1 Sb 2.02
O: 0.1679 0.2477 0.0928  1 Sb 2.04
O: 0.1178 0.4137 0.7834  1 Sb 2.04
O: 0.3321 0.7477 0.4072  1 Sb 2.04
O: 0.3006 0.6599 0.0266  1 Sb 2.02
O: 0.8822 0.5863 0.2166  1 Sb 2.04
O: 0.1994 0.1599 0.4734  1 Sb 2.02
O: 0.8321 0.7523 0.9072  1 Sb 2.04
Sr: 0.0000 0.5000 0.5000  6 O 2.46-2.60
Sr: 0.5000 0.0000 0.0000  6 O 2.46-2.60

Values from the calculation:
Uncorrected energy   -5.852 eV per atom
Calculated volume   314.0 Å³/cell
Space group   P2_1/c, No. 14

***

Q: Which of these has the highest uncorrected energy?
A: SrSbPb2O6

***

Q: What is the uncorrected energy in the fourth record?
A: -6.056 eV per atom